No. 1
Density functional theory data (GGA+U) for Li4Nb3V2Fe3O16 after structural relaxation.

magnetic moment: 16.95 μB/f.u.
volume: 11.4 Å³/atom
space-group type: No. 1
DFT total energy: -7.406 eV per atom
crystal system: triclinic

Structure (CIF):
```
data_Li4Nb3V2Fe3O16
_chemical_formula_sum 'Li4 Nb3 V2 Fe3 O16'
_cell_length_a 6.111
_cell_length_b 6.143
_cell_length_c 9.853
_cell_angle_alpha 89.53
_cell_angle_beta 91.58
_cell_angle_gamma 119.88
_space_group_name_H-M_alt 'P 1'
_space_group_IT_number 1
loop_
_space_group_symop_operation_xyz
'x,y,z'
loop_
_atom_site_label
_atom_site_type_symbol
_atom_site_fract_x
_atom_site_fract_y
_atom_site_fract_z
_atom_site_occupancy
Li1 Li 0.645 0.312 0.906 1
Li2 Li 0.999 0.008 0.000 1
Li3 Li 0.945 0.970 0.484 1
Li4 Li 0.327 0.660 0.384 1
Nb1 Nb 0.347 0.165 0.218 1
Nb2 Nb 0.212 0.336 0.696 1
Nb3 Nb 0.132 0.791 0.730 1
V1 V 0.695 0.342 0.475 1
V2 V 0.352 0.680 0.000 1
Fe1 Fe 0.845 0.183 0.209 1
Fe2 Fe 0.824 0.664 0.212 1
Fe3 Fe 0.660 0.852 0.717 1
O1 O 0.867 0.186 0.599 1
O2 O 0.960 0.474 0.341 1
O3 O 0.652 0.320 0.102 1
O4 O 0.012 0.019 0.306 1
O5 O 0.027 0.022 0.813 1
O6 O 0.843 0.682 0.602 1
O7 O 0.524 0.034 0.339 1
O8 O 0.503 0.457 0.355 1
O9 O 0.679 0.854 0.094 1
O10 O 0.340 0.161 0.600 1
O11 O 0.463 0.507 0.840 1
O12 O 0.458 0.952 0.842 1
O13 O 0.301 0.661 0.604 1
O14 O 0.180 0.342 0.102 1
O15 O 0.019 0.509 0.842 1
O16 O 0.188 0.857 0.099 1
```


No. 2
Density functional theory data (GGA+U) for Li4Nb3V3Fe2O16 after structural relaxation.

magnetic moment: 11.00 μB/f.u.
volume: 11.3 Å³/atom
space-group type: No. 8
DFT total energy: -7.443 eV per atom
crystal system: monoclinic

Structure (CIF):
```
data_Li4Nb3V3Fe2O16
_chemical_formula_sum 'Li4 Nb3 V3 Fe2 O16'
_cell_length_a 6.068
_cell_length_b 6.068
_cell_length_c 9.910
_cell_angle_alpha 88.65
_cell_angle_beta 88.65
_cell_angle_gamma 59.77
_space_group_name_H-M_alt 'P 1'
_space_group_IT_number 1
loop_
_space_group_symop_operation_xyz
'x,y,z'
loop_
_atom_site_label
_atom_site_type_symbol
_atom_site_fract_x
_atom_site_fract_y
_atom_site_fract_z
_atom_site_occupancy
Li1 Li 0.341 0.341 0.099 1
Li2 Li 0.985 0.985 0.000 1
Li3 Li 0.997 0.997 0.507 1
Li4 Li 0.662 0.662 0.611 1
Nb1 Nb 0.166 0.166 0.788 1
Nb2 Nb 0.840 0.346 0.284 1
Nb3 Nb 0.346 0.840 0.284 1
V1 V 0.659 0.161 0.784 1
V2 V 0.161 0.659 0.784 1
V3 V 0.835 0.835 0.294 1
Fe1 Fe 0.340 0.340 0.520 1
Fe2 Fe 0.665 0.665 0.995 1
O1 O 0.679 0.170 0.401 1
O2 O 0.477 0.477 0.661 1
O3 O 0.323 0.323 0.899 1
O4 O 0.002 0.002 0.685 1
O5 O 0.003 0.003 0.183 1
O6 O 0.170 0.679 0.401 1
O7 O 0.476 0.036 0.658 1
O8 O 0.036 0.476 0.658 1
O9 O 0.835 0.835 0.892 1
O10 O 0.165 0.165 0.405 1
O11 O 0.977 0.518 0.173 1
O12 O 0.518 0.977 0.173 1
O13 O 0.666 0.666 0.404 1
O14 O 0.839 0.315 0.895 1
O15 O 0.522 0.522 0.161 1
O16 O 0.315 0.839 0.895 1
```